{
  "formula": "ScTc2Rh",
  "functional": "GGA-PBE",
  "state": "optimized geometry",
  "delta_e_f_mev_per_atom": -22,
  "de_polymorph_mev_per_atom": 190.4,
  "spacegroup": "No. 160",
  "lattice_angstrom": [[8.9751, 0.0050, 0.0029], [8.5147, 2.8376, 0.0029], [8.5147, 1.3839, 2.4773]],
  "species": ["Tc", "Tc", "Sc", "Rh"],
  "fractional_positions": [[0.9961, 0.9961, 0.9961], [0.2518, 0.2518, 0.2518], [0.7519, 0.7519, 0.7519], [0.5001, 0.5001, 0.5001]]
}

---

{
  "formula": "BaNd4Sn4",
  "functional": "GGA-PBE",
  "state": "optimized geometry",
  "delta_e_f_mev_per_atom": -549,
  "spacegroup": "No. 86",
  "lattice_angstrom": [[-3.0804, -5.4814, 0.5361], [3.6922, -1.1192, 9.7723], [-8.3934, 5.0839, 3.7534]],
  "species": ["Sn", "Sn", "Sn", "Sn", "Sn", "Sn", "Sn", "Sn", "Nd", "Nd", "Nd", "Nd", "Nd", "Nd", "Nd", "Nd", "Ba", "Ba"],
  "fractional_positions": [[0.5944, 0.1825, 0.6713], [0.4056, 0.6713, 0.8175], [0.0944, 0.1713, 0.3175], [0.0944, 0.8287, 0.6825], [0.4056, 0.3287, 0.1825], [0.9056, 0.6825, 0.1713], [0.5944, 0.8175, 0.3287], [0.9056, 0.3175, 0.8287], [0.8902, 0.3811, 0.1325], [0.3902, 0.3675, 0.8811], [0.6098, 0.1189, 0.3675], [0.3902, 0.6325, 0.1189], [0.1098, 0.1325, 0.6189], [0.8902, 0.6189, 0.8675], [0.6098, 0.8811, 0.6325], [0.1098, 0.8675, 0.3811], [0.0000, 0.0000, 0.0000], [0.5000, 0.5000, 0.5000]]
}